Entry 1:
! GGA-PBE TbGaAg, relaxed; values from VASP
! **ΔE_f**: -0.28 eV/atom
! **Space-group type**: I4mm (107)
&SYSTEM
  ibrav = 0, nat = 3, ntyp = 3
/
ATOMIC_SPECIES
Ga 69.72 Ga.upf
Tb 158.93 Tb.upf
Ag 107.87 Ag.upf
ATOMIC_POSITIONS crystal
Ga 0.298 0.298 0.597
Tb 0.621 0.621 0.241
Ag 0.931 0.931 0.862
CELL_PARAMETERS angstrom
3.387 0.000 0.000
0.000 3.387 0.000
-1.693 -1.693 5.545

=====

Entry 2:
! GGA-PBE Tb4Y5Mg, relaxed; values from VASP
! **E above lowest polymorph**: 26.4 kJ/mol of atoms
! **ΔE_f**: 0.27 eV/atom
! **Space-group type**: I4 (79)
&SYSTEM
  ibrav = 0, nat = 10, ntyp = 3
/
ATOMIC_SPECIES
Y 88.91 Y.upf
Mg 24.30 Mg.upf
Tb 158.93 Tb.upf
ATOMIC_POSITIONS crystal
Y 0.112 0.625 0.076
Mg 0.186 0.000 0.000
Tb 0.801 0.696 0.612
Y 0.653 0.000 0.000
Y 0.188 0.924 0.625
Y 0.813 0.375 0.924
Tb 0.413 0.388 0.696
Tb 0.109 0.304 0.388
Y 0.737 0.076 0.375
Tb 0.497 0.612 0.304
CELL_PARAMETERS angstrom
6.167 0.000 0.000
3.083 7.253 0.000
3.083 0.000 7.253

=====

Entry 3:
! GGA-PBE AuS2O8, relaxed; values from VASP
! **Energy relative to the elements, uncorrected**: -18.308 kcal/mol of atoms
! **Space-group type**: C2/m (12)
&SYSTEM
  ibrav = 0, nat = 11, ntyp = 3
/
ATOMIC_SPECIES
Au 196.97 Au.upf
S 32.06 S.upf
O 16.00 O.upf
ATOMIC_POSITIONS crystal
Au 0.000 0.000 0.000
S 0.217 0.695 0.783
O 0.972 0.815 0.705
O 0.814 0.544 0.186
O 0.631 0.240 0.369
O 0.186 0.456 0.814
O 0.369 0.760 0.631
O 0.295 0.815 0.028
O 0.705 0.185 0.972
S 0.783 0.305 0.217
O 0.028 0.185 0.295
CELL_PARAMETERS angstrom
5.704 -0.097 -1.341
0.018 5.935 -0.023
-0.012 0.097 5.860

=====

Entry 4:
! GGA-PBE AcPmHo3Tm, relaxed; values from VASP
! **ΔE_f**: 0.23 eV/atom
! **Space-group type**: C2/m (12)
&SYSTEM
  ibrav = 0, nat = 12, ntyp = 4
/
ATOMIC_SPECIES
Ho 164.93 Ho.upf
Pm 145.00 Pm.upf
Tm 168.93 Tm.upf
Ac 227.00 Ac.upf
ATOMIC_POSITIONS crystal
Ho 0.473 0.946 0.310
Pm 0.953 0.906 0.707
Tm 0.344 0.688 0.558
Ho 0.527 0.054 0.690
Ho 0.779 0.558 0.752
Ho 0.221 0.442 0.248
Tm 0.656 0.312 0.442
Ho 0.836 0.672 0.295
Pm 0.047 0.094 0.293
Ac 0.363 0.726 0.975
Ac 0.637 0.274 0.025
Ho 0.164 0.328 0.705
CELL_PARAMETERS angstrom
5.633 0.000 0.000
-2.817 9.360 1.386
0.000 -1.461 7.739

=====

Entry 5:
! GGA-PBE In2Ag2Bi, relaxed; values from VASP
! **E above lowest polymorph**: 2.1 kJ/mol of atoms
! **ΔE_f**: 0.07 eV/atom
! **Space-group type**: C2/c (15)
&SYSTEM
  ibrav = 0, nat = 10, ntyp = 3
/
ATOMIC_SPECIES
In 114.82 In.upf
Ag 107.87 Ag.upf
Bi 208.98 Bi.upf
ATOMIC_POSITIONS crystal
In 0.725 0.475 0.371
Ag 0.733 0.140 0.970
Ag 0.594 0.860 0.530
In 0.750 0.475 0.871
Bi 0.161 0.000 0.750
Ag 0.267 0.860 0.030
In 0.250 0.525 0.129
In 0.275 0.525 0.629
Bi 0.839 0.000 0.250
Ag 0.406 0.140 0.470
CELL_PARAMETERS angstrom
5.657 -0.013 -0.006
-2.821 6.072 -3.509
0.007 -0.653 7.820

=====

Entry 6:
! GGA-PBE TbMn4Al, relaxed; values from VASP
! **ΔE_f**: 0.06 eV/atom
! **Space-group type**: F-43m (216)
&SYSTEM
  ibrav = 0, nat = 6, ntyp = 3
/
ATOMIC_SPECIES
Mn 54.94 Mn.upf
Tb 158.93 Tb.upf
Al 26.98 Al.upf
ATOMIC_POSITIONS crystal
Mn 0.626 0.626 0.626
Mn 0.626 0.121 0.626
Mn 0.626 0.626 0.121
Tb 0.250 0.250 0.250
Mn 0.121 0.626 0.626
Al 0.000 0.000 0.000
CELL_PARAMETERS angstrom
-0.777 1.790 -4.519
3.429 -0.549 -3.488
-0.787 -3.074 -3.763

=====

Entry 7:
! GGA-PBE ScCu3Mo, relaxed; values from VASP
! **E above lowest polymorph**: 0.0 kJ/mol of atoms
! **ΔE_f**: 0.99 eV/atom
! **Space-group type**: Pm-3m (221)
&SYSTEM
  ibrav = 0, nat = 5, ntyp = 3
/
ATOMIC_SPECIES
Cu 63.55 Cu.upf
Sc 44.96 Sc.upf
Mo 95.94 Mo.upf
ATOMIC_POSITIONS crystal
Cu 0.000 0.500 0.000
Cu 0.000 0.000 0.500
Cu 0.500 0.000 0.000
Sc 0.500 0.500 0.500
Mo 0.000 0.000 0.000
CELL_PARAMETERS angstrom
-4.200 0.889 -1.713
-1.862 -2.943 3.039
-0.506 3.452 3.032

=====

Entry 8:
! GGA-PBE Zn2FeSb, relaxed; values from VASP
! **Energy relative to the elements, uncorrected**: 4.320 kcal/mol of atoms
! **Space-group type**: Pm (6)
&SYSTEM
  ibrav = 0, nat = 4, ntyp = 3
/
ATOMIC_SPECIES
Fe 55.84 Fe.upf
Zn 65.41 Zn.upf
Sb 121.76 Sb.upf
ATOMIC_POSITIONS crystal
Fe 0.000 0.301 0.518
Zn 0.500 0.459 0.207
Zn 0.000 0.018 0.087
Sb 0.500 0.722 0.688
CELL_PARAMETERS angstrom
3.846 0.000 0.000
0.000 3.356 -0.009
0.000 1.623 5.220

=====

Entry 9:
! GGA-PBE KLaRe2, relaxed; values from VASP
! **E above lowest polymorph**: 73.9 kJ/mol of atoms
! **ΔE_f**: 1.27 eV/atom
! **Space-group type**: I4/mmm (139)
&SYSTEM
  ibrav = 0, nat = 4, ntyp = 3
/
ATOMIC_SPECIES
K 39.10 K.upf
Re 186.21 Re.upf
La 138.91 La.upf
ATOMIC_POSITIONS crystal
K 0.250 0.750 0.500
Re 0.000 0.000 0.000
Re 0.500 0.500 0.000
La 0.750 0.250 0.500
CELL_PARAMETERS angstrom
-0.925 -3.913 4.525
4.317 -2.955 3.046
-1.561 5.509 -1.963

=====

Entry 10:
! GGA-PBE NaSr2LiHg, relaxed; values from VASP
! **E above lowest polymorph**: 0.0 kJ/mol of atoms
! **ΔE_f**: -0.10 eV/atom
! **Space-group type**: P4/mmm (123)
&SYSTEM
  ibrav = 0, nat = 5, ntyp = 4
/
ATOMIC_SPECIES
Sr 87.62 Sr.upf
Li 6.94 Li.upf
Na 22.99 Na.upf
Hg 200.59 Hg.upf
ATOMIC_POSITIONS crystal
Sr 0.000 0.500 0.000
Sr 0.500 0.000 0.000
Li 0.000 0.000 0.500
Na 0.500 0.500 0.500
Hg 0.000 0.000 0.000
CELL_PARAMETERS angstrom
6.348 0.000 0.000
0.000 6.348 0.000
0.000 0.000 5.206

=====

Entry 11:
! GGA-PBE NdGe2Pt8, relaxed; values from VASP
! **ΔE_f**: -0.23 eV/atom
! **Space-group type**: P4/mmm (123)
&SYSTEM
  ibrav = 0, nat = 11, ntyp = 3
/
ATOMIC_SPECIES
Pt 195.08 Pt.upf
Ge 72.64 Ge.upf
Nd 144.24 Nd.upf
ATOMIC_POSITIONS crystal
Pt 0.753 0.753 0.790
Pt 0.247 0.753 0.790
Pt 0.247 0.753 0.210
Pt 0.247 0.247 0.790
Pt 0.753 0.247 0.790
Ge 0.000 0.500 0.000
Nd 0.500 0.500 0.500
Ge 0.500 0.000 0.000
Pt 0.753 0.247 0.210
Pt 0.247 0.247 0.210
Pt 0.753 0.753 0.210
CELL_PARAMETERS angstrom
5.438 0.000 0.000
0.000 5.438 0.000
0.000 0.000 7.939

=====

Entry 12:
! GGA-PBE EuYHg4, relaxed; values from VASP
! **ΔE_f**: -0.26 eV/atom
! **Space-group type**: F-43m (216)
&SYSTEM
  ibrav = 0, nat = 6, ntyp = 3
/
ATOMIC_SPECIES
Eu 151.96 Eu.upf
Y 88.91 Y.upf
Hg 200.59 Hg.upf
ATOMIC_POSITIONS crystal
Eu 0.250 0.250 0.250
Y 0.000 0.000 0.000
Hg 0.625 0.124 0.625
Hg 0.124 0.625 0.625
Hg 0.625 0.625 0.124
Hg 0.625 0.625 0.625
CELL_PARAMETERS angstrom
6.029 0.000 0.000
3.015 5.222 0.000
3.015 1.741 4.923

=====

no.,DOS(E_F) (states/eV/f.u.)
1,2.5
2,15.6
3,5.7
4,9.6
5,1.1
6,7.8
7,6.3
8,2.9
9,2.6
10,4.0
11,7.8
12,4.1